# LaPt2Se (PBE-GGA, relaxed)
data_LaPt2Se
_space_group_name_H-M_alt 'P 1'
_space_group_IT_number 1
_space_group_name_Hall 'P 1'
_cell_length_a 3.899
_cell_length_b 3.899
_cell_length_c 5.862
_cell_angle_alpha 90.00
_cell_angle_beta 90.00
_cell_angle_gamma 89.98
loop_
_atom_site_label
_atom_site_fract_x
_atom_site_fract_y
_atom_site_fract_z
La1 0.500 0.500 0.717
Se1 0.000 0.000 0.524
Pt1 0.500 0.500 0.170
Pt2 0.000 0.000 0.089
# D(E_F) = 0.35 states/eV per atom
# formation energy from raw total energies = -0.77 eV/atom
# magnetic moment = 0.0 μB per formula unit